#P
# GGA-PBE ScAlSe2N, optimized geometry
data_ScAlSe2N
_cell_length_a 5.018
_cell_length_b 5.018
_cell_length_c 3.598
_cell_angle_alpha 90.00
_cell_angle_beta 90.00
_cell_angle_gamma 90.00
_space_group_name_H-M_alt 'P 1'
_space_group_IT_number 1
loop_
_space_group_symop_operation_xyz
'x,y,z'
loop_
_atom_site_label
_atom_site_fract_x
_atom_site_fract_y
_atom_site_fract_z
_atom_site_occupancy
Sc1 0.000 0.000 0.000 1
Al1 0.500 0.500 0.500 1
Se1 0.000 0.500 0.500 1
Se2 0.500 0.000 0.500 1
N1 0.500 0.500 0.000 1
# ρ = 4.47 g/cm3
# symmetry = P4/mmm, No. 123

=====

#Q
# GGA-PBE ScAlSe2N, optimized geometry
data_ScAlSe2N
_cell_length_a 5.249
_cell_length_b 5.249
_cell_length_c 4.059
_cell_angle_alpha 90.00
_cell_angle_beta 90.00
_cell_angle_gamma 90.00
_space_group_name_H-M_alt 'P 1'
_space_group_IT_number 1
loop_
_space_group_symop_operation_xyz
'x,y,z'
loop_
_atom_site_label
_atom_site_fract_x
_atom_site_fract_y
_atom_site_fract_z
_atom_site_occupancy
Sc1 0.000 0.000 0.000 1
Al1 0.500 0.500 0.500 1
Se1 0.000 0.500 0.000 1
Se2 0.500 0.000 0.000 1
N1 0.000 0.000 0.500 1
# ρ = 3.62 g/cm3
# symmetry = P4/mmm, No. 123

=====

Least stable of them? #Q.

=====

#P
# GGA-PBE ScAlTe2N, optimized geometry
data_ScAlTe2N
_cell_length_a 5.760
_cell_length_b 5.760
_cell_length_c 3.900
_cell_angle_alpha 90.00
_cell_angle_beta 90.00
_cell_angle_gamma 90.00
_space_group_name_H-M_alt 'P 1'
_space_group_IT_number 1
loop_
_space_group_symop_operation_xyz
'x,y,z'
loop_
_atom_site_label
_atom_site_fract_x
_atom_site_fract_y
_atom_site_fract_z
_atom_site_occupancy
Sc1 0.000 0.000 0.000 1
Al1 0.500 0.500 0.500 1
Te1 0.000 0.500 0.000 1
Te2 0.500 0.000 0.000 1
N1 0.000 0.000 0.500 1
# ρ = 4.38 g/cm3
# symmetry = P4/mmm, No. 123

=====

#Q
# GGA-PBE ScAlTe2N, optimized geometry
data_ScAlTe2N
_cell_length_a 5.602
_cell_length_b 5.602
_cell_length_c 3.513
_cell_angle_alpha 90.00
_cell_angle_beta 90.00
_cell_angle_gamma 90.00
_space_group_name_H-M_alt 'P 1'
_space_group_IT_number 1
loop_
_space_group_symop_operation_xyz
'x,y,z'
loop_
_atom_site_label
_atom_site_fract_x
_atom_site_fract_y
_atom_site_fract_z
_atom_site_occupancy
Sc1 0.000 0.000 0.000 1
Al1 0.500 0.500 0.500 1
Te1 0.000 0.500 0.500 1
Te2 0.500 0.000 0.500 1
N1 0.500 0.500 0.000 1
# ρ = 5.14 g/cm3
# symmetry = P4/mmm, No. 123

=====

Least stable of them? #P.